Entry 1:
Entry from the Alexandria database: crystalline KGeAu2 at its relaxed geometry (PBE). Values from VASP.

Summary:
- Magnetic moment: 0.00 Bohr magnetons per cell
- Calculated total energy: -3.311 eV/atom
- Energy relative to the elements: -0.244 eV/atom
- Space group: Pnma (62)

Structure (Quantum ESPRESSO input):
```
&SYSTEM
  ibrav = 0, nat = 16, ntyp = 3
/
ATOMIC_SPECIES
K 39.10 K.upf
Ge 72.64 Ge.upf
Au 196.97 Au.upf
ATOMIC_POSITIONS crystal
K 0.750 0.641 0.388
K 0.750 0.141 0.112
K 0.250 0.359 0.612
K 0.250 0.859 0.888
Ge 0.250 0.017 0.386
Ge 0.750 0.983 0.614
Ge 0.250 0.517 0.114
Ge 0.750 0.483 0.886
Au 0.750 0.657 0.089
Au 0.250 0.343 0.911
Au 0.750 0.157 0.411
Au 0.250 0.843 0.589
Au 0.750 0.177 0.794
Au 0.250 0.323 0.294
Au 0.750 0.677 0.706
Au 0.250 0.823 0.206
CELL_PARAMETERS angstrom
4.751 0.000 0.000
0.000 7.649 0.000
0.000 0.000 11.409
```

***

Entry 2:
Entry from the Alexandria database: crystalline Zr3CuBi at its relaxed geometry (PBE). Values from VASP.

Summary:
- Magnetic moment: 0.00 Bohr magnetons per cell
- Calculated total energy: -6.524 eV/atom
- Excess energy over the best structure of this formula in the dataset: 0.00 eV per formula unit
- Energy relative to the elements: 0.200 eV/atom
- Space group: Pm-3m (221)

Structure (Quantum ESPRESSO input):
```
&SYSTEM
  ibrav = 0, nat = 5, ntyp = 3
/
ATOMIC_SPECIES
Cu 63.55 Cu.upf
Bi 208.98 Bi.upf
Zr 91.22 Zr.upf
ATOMIC_POSITIONS crystal
Cu 0.000 0.000 0.000
Bi 0.500 0.500 0.500
Zr 0.000 0.500 0.000
Zr 0.000 0.000 0.500
Zr 0.500 0.000 0.000
CELL_PARAMETERS angstrom
-4.013 -2.269 1.801
-1.346 -1.265 -4.592
2.565 -4.213 0.409
```

***

Entry 3:
Entry from the Alexandria database: crystalline CsRbZnGeSe at its relaxed geometry (PBE). Values from VASP.

Summary:
- Magnetic moment: 1.24 Bohr magnetons per cell
- Calculated total energy: -2.532 eV/atom
- Excess energy over the best structure of this formula in the dataset: 0.62 eV per formula unit
- Space group: Pm (6)
- Formation energy (no corrections): -293 meV/atom

Structure (Quantum ESPRESSO input):
```
&SYSTEM
  ibrav = 0, nat = 5, ntyp = 5
/
ATOMIC_SPECIES
Cs 132.91 Cs.upf
Zn 65.41 Zn.upf
Ge 72.64 Ge.upf
Se 78.96 Se.upf
Rb 85.47 Rb.upf
ATOMIC_POSITIONS crystal
Cs 0.948 0.784 0.321
Zn 0.448 0.144 0.071
Ge 0.448 0.884 0.804
Se 0.448 0.309 0.357
Rb 0.948 0.369 0.704
CELL_PARAMETERS angstrom
-3.094 -2.712 1.504
4.242 -4.145 1.251
-0.020 3.795 6.804
```

***

Entry 4:
Entry from the Alexandria database: crystalline BaLiSm2 at its relaxed geometry (PBE). Values from VASP.

Summary:
- Magnetic moment: 0.04 Bohr magnetons per cell
- Calculated total energy: -2.981 eV/atom
- Energy relative to the elements: 0.338 eV/atom
- Space group: R-3m (166)

Structure (Quantum ESPRESSO input):
```
&SYSTEM
  ibrav = 0, nat = 4, ntyp = 3
/
ATOMIC_SPECIES
Ba 137.33 Ba.upf
Sm 150.36 Sm.upf
Li 6.94 Li.upf
ATOMIC_POSITIONS crystal
Ba 0.000 0.000 0.000
Sm 0.097 0.097 0.710
Sm 0.903 0.903 0.290
Li 0.500 0.500 0.500
CELL_PARAMETERS angstrom
-2.938 0.472 -2.015
-2.176 -2.778 -0.683
-8.373 1.911 9.452
```

***

Entry 5:
Entry from the Alexandria database: crystalline TlCu5Se4 at its relaxed geometry (PBE). Values from VASP.

Summary:
- Magnetic moment: 0.00 Bohr magnetons per cell
- Calculated total energy: -3.784 eV/atom
- Space group: Pmmn (59)
- Formation energy (no corrections): -105 meV/atom

Structure (Quantum ESPRESSO input):
```
&SYSTEM
  ibrav = 0, nat = 20, ntyp = 3
/
ATOMIC_SPECIES
Tl 204.38 Tl.upf
Cu 63.55 Cu.upf
Se 78.96 Se.upf
ATOMIC_POSITIONS crystal
Tl 0.930 0.000 0.000
Tl 0.070 0.500 0.500
Cu 0.750 0.313 0.168
Cu 0.750 0.313 0.832
Cu 0.937 0.000 0.500
Cu 0.750 0.687 0.168
Cu 0.750 0.687 0.832
Cu 0.250 0.813 0.332
Cu 0.250 0.813 0.668
Cu 0.063 0.500 0.000
Cu 0.250 0.187 0.668
Cu 0.250 0.187 0.332
Se 0.230 0.233 0.000
Se 0.437 0.000 0.300
Se 0.437 0.000 0.700
Se 0.230 0.767 0.000
Se 0.770 0.733 0.500
Se 0.563 0.500 0.200
Se 0.563 0.500 0.800
Se 0.770 0.267 0.500
CELL_PARAMETERS angstrom
3.828 0.000 0.000
0.000 12.839 0.000
0.000 0.000 7.713
```

***

Entry 6:
Entry from the Alexandria database: crystalline La3DyEr8 at its relaxed geometry (PBE). Values from VASP.

Summary:
- Magnetic moment: 0.00 Bohr magnetons per cell
- Calculated total energy: -4.043 eV/atom
- Energy relative to the elements: 0.614 eV/atom
- Space group: Fmm2 (42)

Structure (Quantum ESPRESSO input):
```
&SYSTEM
  ibrav = 0, nat = 12, ntyp = 3
/
ATOMIC_SPECIES
La 138.91 La.upf
Dy 162.50 Dy.upf
Er 167.26 Er.upf
ATOMIC_POSITIONS crystal
La 0.500 0.750 0.250
La 0.500 0.250 0.750
La 0.000 0.500 0.500
Dy 0.000 0.001 0.001
Er 0.484 0.227 0.227
Er 0.516 0.743 0.743
Er 0.000 0.771 0.257
Er 0.000 0.257 0.771
Er 0.249 0.368 0.368
Er 0.751 0.120 0.120
Er 0.000 0.632 0.881
Er 0.000 0.881 0.632
CELL_PARAMETERS angstrom
7.604 -0.389 -3.543
-4.419 7.022 -1.300
-0.245 0.388 8.385
```

***

Entry 7:
Entry from the Alexandria database: crystalline YBe2Os at its relaxed geometry (PBE). Values from VASP.

Summary:
- Magnetic moment: 0.00 Bohr magnetons per cell
- Calculated total energy: -6.505 eV/atom
- Excess energy over the best structure of this formula in the dataset: 0.00 eV per formula unit
- Energy relative to the elements: -0.218 eV/atom
- Space group: C2/m (12)

Structure (Quantum ESPRESSO input):
```
&SYSTEM
  ibrav = 0, nat = 4, ntyp = 3
/
ATOMIC_SPECIES
Y 88.91 Y.upf
Be 9.01 Be.upf
Os 190.23 Os.upf
ATOMIC_POSITIONS crystal
Y 0.750 0.750 0.750
Be 0.966 0.966 0.157
Be 0.534 0.534 0.343
Os 0.250 0.250 0.250
CELL_PARAMETERS angstrom
4.229 -0.006 -0.003
2.846 3.127 -0.003
1.467 0.647 4.715
```

***

Entry 8:
Entry from the Alexandria database: crystalline GaRu3 at its relaxed geometry (PBE). Values from VASP.

Summary:
- Magnetic moment: 0.00 Bohr magnetons per cell
- Calculated total energy: -7.699 eV/atom
- Energy relative to the elements: 0.014 eV/atom
- Space group: Pmm2 (25)

Structure (Quantum ESPRESSO input):
```
&SYSTEM
  ibrav = 0, nat = 4, ntyp = 2
/
ATOMIC_SPECIES
Ru 101.07 Ru.upf
Ga 69.72 Ga.upf
ATOMIC_POSITIONS crystal
Ru 0.000 0.500 0.320
Ru 0.500 0.000 0.519
Ru 0.500 0.500 0.820
Ga 0.000 0.000 0.008
CELL_PARAMETERS angstrom
-0.846 -2.275 1.346
2.560 1.052 3.386
-3.502 2.424 1.895
```

***

Entry 9:
Entry from the Alexandria database: crystalline Y3MoN at its relaxed geometry (PBE). Values from VASP.

Summary:
- Magnetic moment: 0.91 Bohr magnetons per cell
- Calculated total energy: -8.040 eV/atom
- Excess energy over the best structure of this formula in the dataset: 0.00 eV per formula unit
- Space group: Pm-3m (221)
- Formation energy (no corrections): -330 meV/atom

Structure (Quantum ESPRESSO input):
```
&SYSTEM
  ibrav = 0, nat = 5, ntyp = 3
/
ATOMIC_SPECIES
Y 88.91 Y.upf
Mo 95.94 Mo.upf
N 14.01 N.upf
ATOMIC_POSITIONS crystal
Y 0.000 0.500 0.000
Y 0.000 0.000 0.500
Y 0.500 0.000 0.000
Mo 0.500 0.500 0.500
N 0.000 0.000 0.000
CELL_PARAMETERS angstrom
4.757 0.000 0.000
0.000 4.757 0.000
0.000 0.000 4.757
```

***

Entry 10:
Entry from the Alexandria database: crystalline ScSn2Os at its relaxed geometry (PBE). Values from VASP.

Summary:
- Magnetic moment: 0.00 Bohr magnetons per cell
- Calculated total energy: -6.252 eV/atom
- Excess energy over the best structure of this formula in the dataset: 0.80 eV per formula unit
- Energy relative to the elements: 0.140 eV/atom
- Space group: I-42d (122)

Structure (Quantum ESPRESSO input):
```
&SYSTEM
  ibrav = 0, nat = 8, ntyp = 3
/
ATOMIC_SPECIES
Sc 44.96 Sc.upf
Os 190.23 Os.upf
Sn 118.71 Sn.upf
ATOMIC_POSITIONS crystal
Sc 0.500 0.500 0.000
Sc 0.250 0.750 0.500
Os 0.000 0.000 0.000
Os 0.750 0.250 0.500
Sn 0.667 0.125 0.250
Sn 0.083 0.625 0.250
Sn 0.375 0.333 0.750
Sn 0.875 0.917 0.750
CELL_PARAMETERS angstrom
7.860 0.000 0.000
0.000 7.860 0.000
3.930 3.930 2.884
```

***

Entry 11:
Entry from the Alexandria database: crystalline Ba2InBi2 at its relaxed geometry (PBE). Values from VASP.

Summary:
- Magnetic moment: 0.00 Bohr magnetons per cell
- Calculated total energy: -3.346 eV/atom
- Excess energy over the best structure of this formula in the dataset: 1.06 eV per formula unit
- Energy relative to the elements: -0.477 eV/atom
- Space group: P4/mbm (127)

Structure (Quantum ESPRESSO input):
```
&SYSTEM
  ibrav = 0, nat = 10, ntyp = 3
/
ATOMIC_SPECIES
In 114.82 In.upf
Bi 208.98 Bi.upf
Ba 137.33 Ba.upf
ATOMIC_POSITIONS crystal
In 0.000 0.000 0.000
In 0.500 0.500 0.000
Bi 0.166 0.666 0.500
Bi 0.666 0.834 0.500
Bi 0.834 0.334 0.500
Bi 0.334 0.166 0.500
Ba 0.365 0.865 0.000
Ba 0.865 0.635 0.000
Ba 0.635 0.135 0.000
Ba 0.135 0.365 0.000
CELL_PARAMETERS angstrom
-0.894 -9.106 4.554
2.172 -4.637 -8.846
3.844 0.075 0.904
```

***

Entry 12:
Entry from the Alexandria database: crystalline KBiO2F at its relaxed geometry (PBE). Values from VASP.

Summary:
- Magnetic moment: 1.03 Bohr magnetons per cell
- Calculated total energy: -3.560 eV/atom
- Space group: P4/mmm (123)
- Formation energy (no corrections): -207 meV/atom

Structure (Quantum ESPRESSO input):
```
&SYSTEM
  ibrav = 0, nat = 5, ntyp = 4
/
ATOMIC_SPECIES
K 39.10 K.upf
Bi 208.98 Bi.upf
O 16.00 O.upf
F 19.00 F.upf
ATOMIC_POSITIONS crystal
K 0.000 0.000 0.000
Bi 0.500 0.500 0.500
O 0.000 0.500 0.000
O 0.500 0.000 0.000
F 0.000 0.000 0.500
CELL_PARAMETERS angstrom
-1.823 4.072 -0.590
-0.936 -1.039 -4.277
-3.898 -1.566 1.234
```